Ho2IrPd: optimized geometry, PBE.

CIF file:
```
data_Ho2IrPd
_symmetry_space_group_name_H-M 'P 4/m m m'
_symmetry_Int_Tables_number 123
_symmetry_space_group_name_Hall '-P 4 2'
_cell_length_a 3.454
_cell_length_b 3.454
_cell_length_c 6.910
_cell_angle_alpha 90.00
_cell_angle_beta 90.00
_cell_angle_gamma 90.00
loop_
_atom_site_label
_atom_site_fract_x
_atom_site_fract_y
_atom_site_fract_z
_atom_site_occupancy
Ho1 0.000 0.000 0.239 1
Ir1 0.500 0.500 0.000 1
Pd1 0.500 0.500 0.500 1
```

Output
Fermi-level density of states in states/eV/f.u.: 1.59
Formation energy from the elements in eV/atom: -0.913
Total DFT energy (no corrections) in eV per atom: -6.72